Record 1
This record from Alexandria describes crystalline Ho3ZrZn4 at its relaxed geometry. The functional is PBE-GGA.

a b c (Å): 3.501 3.501 13.962
angles (deg): 90.00 90.00 90.00
Sites, in units of the cell vectors:
Ho  0.000  0.000  0.000
Ho  0.000  0.000  0.258
Ho  0.000  0.000  0.742
Zr  0.000  0.000  0.500
Zn  0.500  0.500  0.129
Zn  0.500  0.500  0.390
Zn  0.500  0.500  0.610
Zn  0.500  0.500  0.871

As for the space-group type: P4/mmm. Its energy of formation from the pure elements is -307 meV/atom. For the total energy, the calculation gives -3.73 eV per atom.

=====

Record 2
This record from Alexandria describes crystalline Sm2DyScS6 at its relaxed geometry. The functional is PBE-GGA.

a b c (Å): 7.274 7.274 7.274
angles (deg): 56.66 56.66 56.66
Sites, in units of the cell vectors:
Sm  0.000  0.000  0.000
Sm  0.498  0.498  0.498
Dy  0.204  0.204  0.204
Sc  0.701  0.701  0.701
S  0.072  0.428  0.818
S  0.327  0.910  0.589
S  0.428  0.818  0.072
S  0.589  0.327  0.910
S  0.818  0.072  0.428
S  0.910  0.589  0.327

The calculation puts the raw formation energy at -1991 meV/atom. As for the space-group type: R3. For the total energy, the calculation gives -6.51 eV per atom.

=====

Record 3
This record from Alexandria describes crystalline Pm4AsIrBr2 at its relaxed geometry. The functional is PBE-GGA.

a b c (Å): 7.602 4.117 7.765
angles (deg): 90.00 107.38 90.00
Sites, in units of the cell vectors:
Pm  0.215  0.000  0.197
Pm  0.254  0.500  0.794
Pm  0.746  0.500  0.206
Pm  0.785  0.000  0.803
As  0.500  0.000  0.000
Ir  0.000  0.500  0.000
Br  0.000  0.000  0.500
Br  0.500  0.500  0.500

The calculation puts the raw formation energy at -1224 meV/atom. As for the space-group type: P2/m. For the total energy, the calculation gives -5.71 eV per atom.